DFT (PBE) results for a relaxed CoNiB4 crystal.

The total energy comes out at -6.46 eV per atom. As for the energy above the lowest structure with this stoichiometry: 0.9 kJ per mole of atoms. For the total magnetization, the calculation gives 0.9 μB/cell.

It has space group P6/mmm (No. 191), with a = 2.9986 Å, b = 2.9986 Å, c = 5.8569 Å, α = 90.00°, β = 90.00° and γ = 120.00°. Symmetry generates all atoms from Co at (0.0000, 0.0000, 0.0000), Ni at (0.0000, 0.0000, 0.5000) and B at (0.3333, 0.6667, 0.2416).

DFT (PBE) results for a relaxed CoNiBOs crystal.

The total energy comes out at -7.35 eV per atom. As for the energy above the lowest structure with this stoichiometry: 0.0 kJ per mole of atoms. For the total magnetization, the calculation gives 3.9 μB/cell.

It has space group F-43m (No. 216), with a = 5.511 Å, b = 5.511 Å, c = 5.511 Å, α = 90.00°, β = 90.00° and γ = 90.00°. Symmetry generates all atoms from Co at (0.000, 0.000, 0.000), Ni at (0.250, 0.250, 0.250), B at (0.250, 0.250, 0.750) and Os at (0.000, 0.000, 0.500).

DFT (PBE) results for a relaxed CoNiBOs crystal.

The total energy comes out at -6.96 eV per atom. As for the energy above the lowest structure with this stoichiometry: 37.5 kJ per mole of atoms. For the total magnetization, the calculation gives 6.3 μB/cell.

It has space group F-43m (No. 216), with a = 5.601 Å, b = 5.601 Å, c = 5.601 Å, α = 90.00°, β = 90.00° and γ = 90.00°. Symmetry generates all atoms from Co at (0.000, 0.000, 0.000), Ni at (0.000, 0.000, 0.500), B at (0.250, 0.250, 0.750) and Os at (0.250, 0.250, 0.250).

DFT (PBE) results for a relaxed CoNiBPd crystal.

The total energy comes out at -5.74 eV per atom. As for the energy above the lowest structure with this stoichiometry: 8.3 kJ per mole of atoms. For the total magnetization, the calculation gives 6.5 μB/cell.

It has space group F-43m (No. 216), with a = 5.590 Å, b = 5.590 Å, c = 5.590 Å, α = 90.00°, β = 90.00° and γ = 90.00°. Symmetry generates all atoms from Co at (0.000, 0.000, 0.000), Ni at (0.250, 0.250, 0.750), B at (0.000, 0.000, 0.500) and Pd at (0.250, 0.250, 0.250).

DFT (PBE) results for a relaxed CoNiBPd crystal.

The total energy comes out at -5.82 eV per atom. As for the energy above the lowest structure with this stoichiometry: 0.0 kJ per mole of atoms. For the total magnetization, the calculation gives 6.4 μB/cell.

It has space group F-43m (No. 216), with a = 5.578 Å, b = 5.578 Å, c = 5.578 Å, α = 90.00°, β = 90.00° and γ = 90.00°. Symmetry generates all atoms from Co at (0.000, 0.000, 0.000), Ni at (0.250, 0.250, 0.250), B at (0.250, 0.250, 0.750) and Pd at (0.000, 0.000, 0.500).

DFT (PBE) results for a relaxed CoTcNiB crystal.

The total energy comes out at -7.25 eV per atom. As for the energy above the lowest structure with this stoichiometry: 0.0 kJ per mole of atoms. For the total magnetization, the calculation gives 0.1 μB/cell.

It has space group F-43m (No. 216), with a = 5.504 Å, b = 5.504 Å, c = 5.504 Å, α = 90.00°, β = 90.00° and γ = 90.00°. Symmetry generates all atoms from Co at (0.000, 0.000, 0.000), Tc at (0.000, 0.000, 0.500), Ni at (0.250, 0.250, 0.250) and B at (0.250, 0.250, 0.750).

DFT (PBE) results for a relaxed CoTcNiB crystal.

The total energy comes out at -7.24 eV per atom. As for the energy above the lowest structure with this stoichiometry: 0.5 kJ per mole of atoms. For the total magnetization, the calculation gives 0.1 μB/cell.

It has space group F-43m (No. 216), with a = 5.509 Å, b = 5.509 Å, c = 5.509 Å, α = 90.00°, β = 90.00° and γ = 90.00°. Symmetry generates all atoms from Co at (0.000, 0.000, 0.000), Tc at (0.250, 0.250, 0.250), Ni at (0.250, 0.250, 0.750) and B at (0.000, 0.000, 0.500).

DFT (PBE) results for a relaxed CoNiBW crystal.

The total energy comes out at -7.65 eV per atom. As for the energy above the lowest structure with this stoichiometry: 20.1 kJ per mole of atoms. For the total magnetization, the calculation gives 0.1 μB/cell.

It has space group F-43m (No. 216), with a = 5.618 Å, b = 5.618 Å, c = 5.618 Å, α = 90.00°, β = 90.00° and γ = 90.00°. Symmetry generates all atoms from Co at (0.000, 0.000, 0.000), Ni at (0.000, 0.000, 0.500), B at (0.250, 0.250, 0.750) and W at (0.250, 0.250, 0.250).